Mn2H2SO6: relaxed, PBE with a Hubbard U.

POSCAR file:
```
Mn2H2SO6
1.0
-5.627 2.462 1.112
-3.479 1.008 -5.828
-4.979 -4.627 -0.944
Mn H S O
4 4 2 12
Cartesian
-7.518 -2.825 -4.406
-6.567 1.668 -1.254
-4.048 -0.668 -0.852
-10.037 -0.489 -4.807
-5.066 -3.041 -0.788
-7.288 -3.415 -1.902
-9.019 1.884 -4.872
-6.797 2.258 -3.758
-5.355 -0.140 -4.022
-8.730 -1.017 -1.638
-5.534 -1.585 -4.392
-5.520 0.019 -2.537
-8.566 -1.176 -3.123
-8.552 0.428 -1.268
-11.579 -1.732 -3.980
-5.718 0.309 0.174
-2.506 0.575 -1.679
-8.368 -1.466 -5.834
-10.098 -1.456 -1.255
-7.694 -1.823 -0.941
-3.988 0.299 -4.404
-6.392 0.667 -4.719
```

Summary:
total moment = 10.00 μB per formula unit
electronic total energy = -143.56 eV per cell
space-group type = C2/c (15)


MnH6SO6: relaxed, PBE with a Hubbard U.

POSCAR file:
```
MnH6SO6
1.0
6.750 0.007 0.000
-0.903 8.717 0.000
0.000 0.000 8.960
Mn H S O
4 24 4 24
Cartesian
5.696 5.590 2.328
3.075 7.497 6.808
2.772 1.228 2.152
0.151 3.134 6.633
5.753 6.739 6.175
5.536 8.498 2.946
5.158 7.443 4.868
4.944 7.577 8.878
4.978 0.198 0.167
4.696 4.171 4.648
4.697 5.269 7.435
4.073 7.817 2.955
3.826 5.509 4.398
3.612 5.644 0.387
3.234 4.589 7.426
3.017 6.348 1.695
2.830 2.377 7.266
2.612 4.136 1.534
2.234 3.081 8.573
2.021 3.215 4.563
1.774 0.907 6.006
1.150 3.455 1.526
1.151 4.553 4.313
0.869 8.526 8.793
0.903 1.147 0.082
0.689 1.281 4.093
0.311 0.226 6.015
0.094 1.985 2.785
5.325 2.833 0.616
4.348 1.536 5.096
1.499 7.188 3.865
0.522 5.891 8.345
6.392 2.314 8.586
6.164 3.461 1.794
5.221 7.517 5.863
5.045 7.639 3.099
4.939 2.833 5.706
4.734 1.537 1.226
4.647 5.018 4.130
4.123 8.068 8.610
3.726 5.448 7.579
3.510 0.909 6.274
3.549 5.569 1.382
3.282 2.055 4.106
2.565 6.669 4.854
2.298 3.155 7.578
2.337 7.815 2.686
2.121 3.276 1.381
1.724 0.656 0.351
1.200 3.706 4.831
1.113 7.187 7.735
0.907 5.892 3.254
0.802 1.086 5.861
0.626 1.207 3.098
-0.317 5.264 7.166
-0.545 6.410 0.374
```

Summary:
total moment = 4.98 μB per formula unit
electronic total energy = -313.01 eV per cell
space-group type = P2_1/c (14)


MnH6S4O16: relaxed, PBE with a Hubbard U.

POSCAR file:
```
MnH6S4O16
1.0
5.291 -0.019 0.000
-2.054 8.371 0.000
0.000 0.000 15.439
Mn H S O
2 12 8 32
Cartesian
0.000 0.000 0.000
-1.027 4.186 7.719
0.400 2.558 4.084
3.864 1.608 11.803
2.837 5.794 11.354
-0.627 6.744 3.635
2.747 1.421 4.108
1.518 2.745 11.828
0.491 6.931 11.330
1.720 5.607 3.611
0.198 5.236 15.085
2.012 7.302 7.366
3.039 3.116 0.353
1.225 1.050 8.072
4.170 2.062 2.599
0.094 2.105 10.318
-0.933 6.291 12.840
3.143 6.247 5.121
0.651 6.485 1.334
1.559 6.053 9.054
2.586 1.867 14.104
1.678 2.300 6.385
2.693 2.183 12.654
0.544 6.169 2.784
0.720 3.331 6.771
3.544 0.835 14.491
2.517 5.021 8.667
-0.307 7.517 0.948
3.056 2.622 6.755
1.208 1.545 14.474
0.181 5.730 8.684
1.666 6.368 10.504
1.287 0.946 7.063
2.977 3.220 14.782
1.950 7.406 8.375
0.260 5.132 0.656
-1.232 5.512 5.954
3.442 7.026 13.674
4.469 2.840 9.484
-0.205 1.326 1.765
2.156 7.074 5.780
0.054 5.464 13.499
1.081 1.278 9.659
3.183 2.888 1.940
2.459 5.201 4.206
-0.249 7.337 11.925
0.778 3.151 11.233
3.486 1.016 3.514
-1.359 7.212 4.188
3.569 5.326 11.907
4.596 1.140 11.251
-0.332 3.026 3.531
2.029 6.808 0.964
1.571 1.984 4.935
```

Summary:
total moment = 5.00 μB per formula unit
electronic total energy = -315.00 eV per cell
space-group type = P2_1/c (14)


The lowest total moment belongs to which entry?
MnH6SO6


Look up the total moment of the first one.
10.00 μB per formula unit


What is the total moment in the first record?
10.00 μB per formula unit


The highest electronic total energy belongs to which entry?
Mn2H2SO6